Compound: LuTlPt4
Source: Alexandria
Functional: PBE
Structure: optimized geometry

Results
Spin magnetization in μB/f.u.: 0.00
Crystal system: cubic
ρ in g cm⁻³: 17.23
Energy of formation from the pure elements in kJ/mol of atoms: -66.7

Geometry as POSCAR:
```
LuTlPt4
1.0
5.407 0.000 0.000
2.703 4.682 0.000
2.703 1.561 4.415
Pt Lu Tl
4 1 1
Cartesian
5.407 1.563 2.758 Pt
6.757 3.901 2.758 Pt
4.057 3.901 2.758 Pt
5.407 3.122 0.554 Pt
0.000 0.000 0.000 Lu
2.703 1.561 1.104 Tl
```